# 1
Below is AcCuPdPb after structural relaxation, with properties calculated at the GGA-PBE level.

Values from the calculation:
The density of states at the Fermi level comes out at 12.7 states/eV per cell. The formation energy is -0.362 eV per atom. For the energy, the calculation gives -74.211 eV per cell.

Unit cell a=7.2445 b=7.2445 c=7.2445 alpha=90.00 beta=90.00 gamma=90.00
Closest atoms and distances in Å follow each position.
Space group F-43m (No. 216)
Unique sites:
Ac  0.0000  0.0000  0.0000  4 Cu 3.14, 4 Pd 3.14
Cu  0.2500  0.2500  0.7500  4 Pb 3.14, 4 Ac 3.14
Pd  0.2500  0.2500  0.2500  4 Ac 3.14, 4 Pb 3.14
Pb  0.0000  0.0000  0.5000  4 Pd 3.14, 4 Cu 3.14

***

# 2
Below is AcCuPd3Pb after structural relaxation, with properties calculated at the GGA-PBE level.

Values from the calculation:
The density of states at the Fermi level comes out at 9.5 states/eV per cell. The formation energy is -0.394 eV per atom. For the energy, the calculation gives -119.417 eV per cell.

Unit cell a=5.8603 b=12.3042 c=7.3585 alpha=90.00 beta=90.00 gamma=90.00
Closest atoms and distances in Å follow each position.
Space group Cmcm (No. 63)
Unique sites:
Ac  0.0000  0.1774  0.2500  6 Pd 2.96-3.21, 1 Cu 3.02
Cu  0.0000  0.4229  0.2500  5 Pd 2.53-2.71
Pd  0.0000  0.3567  0.7500  1 Cu 2.71, 1 Pb 2.78, 4 Pd 2.94, 2 Ac 2.96
Pd  0.2494  0.5000  0.0000  2 Cu 2.53
Pb  0.0000  0.1307  0.7500  5 Pd 2.78-2.85, 2 Cu 3.00

***

# 3
Below is AcPrCuPb after structural relaxation, with properties calculated at the GGA-PBE level.

Values from the calculation:
The density of states at the Fermi level comes out at 18.1 states/eV per cell. The formation energy is -0.257 eV per atom. For the energy, the calculation gives -70.890 eV per cell.

Unit cell a=7.8530 b=7.8530 c=7.8530 alpha=90.00 beta=90.00 gamma=90.00
Closest atoms and distances in Å follow each position.
Space group F-43m (No. 216)
Unique sites:
Ac  0.0000  0.0000  0.0000  4 Cu 3.40, 4 Pb 3.40
Pr  0.0000  0.0000  0.5000  4 Pb 3.40, 4 Cu 3.40
Cu  0.2500  0.2500  0.2500  4 Ac 3.40, 4 Pr 3.40
Pb  0.2500  0.2500  0.7500  4 Ac 3.40, 4 Pr 3.40

***

# 4
Below is Ac3Cu2Pt4Pb2 after structural relaxation, with properties calculated at the GGA-PBE level.

Values from the calculation:
The density of states at the Fermi level comes out at 5.3 states/eV per cell. The formation energy is -0.670 eV per atom. For the energy, the calculation gives -59.472 eV per cell.

Unit cell a=4.5190 b=4.5190 c=15.9169 alpha=90.00 beta=90.00 gamma=120.00
Closest atoms and distances in Å follow each position.
Space group P-3m1 (No. 164)
Unique sites:
Ac  0.0000  0.0000  0.0000  6 Pt 3.29, 6 Cu 3.31
Ac  0.0000  0.0000  0.2541  6 Pt 3.18-3.32, 3 Cu 3.30
Cu  0.3333  0.6667  0.1277  3 Pt 2.61
Pt  0.3333  0.6667  0.3680  3 Pb 2.80
Pt  0.3333  0.6667  0.8745  3 Cu 2.61
Pb  0.3333  0.6667  0.5676  3 Pt 2.80

***

# 5
Below is AcCuRhPb after structural relaxation, with properties calculated at the GGA-PBE level.

Values from the calculation:
The density of states at the Fermi level comes out at 11.8 states/eV per cell. The formation energy is -0.186 eV per atom. For the energy, the calculation gives -80.027 eV per cell.

Unit cell a=7.1626 b=7.1626 c=7.1626 alpha=90.00 beta=90.00 gamma=90.00
Closest atoms and distances in Å follow each position.
Space group F-43m (No. 216)
Unique sites:
Ac  0.0000  0.0000  0.0000  4 Cu 3.10, 4 Rh 3.10
Cu  0.2500  0.2500  0.7500  4 Ac 3.10, 4 Pb 3.10
Rh  0.2500  0.2500  0.2500  4 Ac 3.10, 4 Pb 3.10
Pb  0.0000  0.0000  0.5000  4 Rh 3.10, 4 Cu 3.10

***

# 6
Below is AcCuPb2S4 after structural relaxation, with properties calculated at the GGA-PBE level.

Values from the calculation:
For the energy, the calculation gives -158.798 eV per cell. The formation energy from raw total energies is -0.946 eV/atom.

Unit cell a=4.1104 b=13.3591 c=14.6028 alpha=90.00 beta=90.00 gamma=90.00
Closest atoms and distances in Å follow each position.
Space group Cmcm (No. 63)
Unique sites:
Ac  0.0000  0.1077  0.2500  6 S 3.04-3.06
Cu  0.0000  0.1595  0.7500  4 S 2.39-2.44
Pb  0.0000  0.3655  0.0556  6 S 2.85-3.09
S  0.0000  0.0000  0.0000  4 Pb 2.85
S  0.0000  0.2848  0.6329  1 Cu 2.39
S  0.0000  0.4383  0.2500  2 Cu 2.44